1.
Entry from the Alexandria database: a relaxed structure of Pa2TaHg (PBE-GGA).

abc: 3.0951 3.0951 35.3595
angles: 90.00 90.00 120.00
Last column: nearest neighbours and their distance in Å.
Space group R-3m (No. 166, hexagonal axes)
Symmetry-distinct sites (fractional):
Pa  0.0000  0.0000  0.0925  6 Pa 3.10, 3 Ta 3.17, 1 Hg 3.27
Ta  0.0000  0.0000  0.5000  6 Ta 3.10, 6 Pa 3.17
Hg  0.0000  0.0000  0.0000  6 Hg 3.10, 2 Pa 3.27

Output
As for the calculated total energy: -7.49 eV per atom. As for the crystal system: trigonal. The calculation puts the density at 14.33 Mg/m³. Its formation enthalpy at 0 K is 0.297 eV per atom.

---

2.
Entry from the Alexandria database: a relaxed structure of Np3AsN3 (PBE-GGA).

abc: 12.7830 3.7720 11.3455
angles: 90.00 118.12 90.00
Last column: nearest neighbours and their distance in Å.
Space group C2/m (No. 12)
Symmetry-distinct sites (fractional):
Np  0.1161  0.0000  0.4467  4 N 2.24-2.45
Np  0.1288  0.0000  0.8863  4 N 2.18-2.40
Np  0.1546  0.5000  0.2032  4 N 2.16-2.28
As  0.1230  0.5000  0.6769  8 Np 3.01-3.29
N  0.0643  0.0000  0.2091  3 Np 2.18-2.23
N  0.1582  0.5000  0.0040  4 Np 2.24-2.40
N  0.1895  0.5000  0.4091  4 Np 2.16-2.24

Output
As for the calculated total energy: -10.84 eV per atom. As for the crystal system: monoclinic. The calculation puts the density at 11.40 Mg/m³. The uncorrected formation energy comes out at -1.059 eV/atom.

---

- Look up the density of the first one.
  14.33 Mg/m³